Below is crystalline RuC3 at its relaxed geometry, with properties calculated at the PBE level.

abc: 2.784 6.257 3.925
angles: 90.00 90.00 90.00
Space group Imm2 (No. 44)
Asymmetric unit:
Ru 0.000 0.000 0.000 [2 per cell]
C 0.000 0.326 0.169 [4 per cell]
C 0.000 0.500 0.932 [2 per cell]

Results
- N(E_F): 0.08 states/eV/atom
- Mass density: 6.66 g/cm3
- Spin magnetization: 0.00 Bohr magnetons per cell
- Energy of formation from the pure elements: 1.118 eV per atom
- Crystal system: orthorhombic
- Electronic total energy: -64.95 eV/cell

---

Below is crystalline Sb2Te2Br at its relaxed geometry, with properties calculated at the PBE level.

abc: 7.065 7.574 8.807
angles: 102.95 102.77 116.93
Space group P-1 (No. 2)
Asymmetric unit:
Sb 0.161 0.340 0.026 [2 per cell]
Sb 0.210 0.123 0.462 [2 per cell]
Te 0.108 0.891 0.808 [2 per cell]
Te 0.259 0.774 0.215 [2 per cell]
Br 0.349 0.516 0.691 [2 per cell]

Results
- Formation energy without anion corrections: -0.166 eV/atom
- Mass density: 5.05 g/cm3
- Spin magnetization: 0.00 Bohr magnetons per cell
- Crystal system: triclinic
- Electronic total energy: -34.06 eV/cell

---

Below is crystalline BeClF3 at its relaxed geometry, with properties calculated at the PBE level.

abc: 3.710 3.710 3.710
angles: 90.00 90.00 90.00
Space group Pm-3m (No. 221)
Asymmetric unit:
Be 0.000 0.000 0.000 [1 per cell]
Cl 0.500 0.500 0.500 [1 per cell]
F 0.000 0.000 0.500 [3 per cell]

Results
- N(E_F): 0.28 states/eV/atom
- Formation energy without anion corrections: -1.395 eV/atom
- Mass density: 3.30 g/cm3
- Spin magnetization: 2.00 Bohr magnetons per cell
- Crystal system: cubic
- Electronic total energy: -18.16 eV/cell

---

Below is crystalline Ac2Cd5Pd4 at its relaxed geometry, with properties calculated at the PBE level.

abc: 5.757 9.309 9.613
angles: 90.00 90.00 90.00
Space group Immm (No. 71)
Asymmetric unit:
Ac 0.000 0.000 0.228 [4 per cell]
Cd 0.000 0.500 0.500 [2 per cell]
Cd 0.247 0.296 0.000 [8 per cell]
Pd 0.000 0.330 0.258 [8 per cell]

Results
- N(E_F): 0.56 states/eV/atom
- Mass density: 9.29 g/cm3
- Spin magnetization: 0.00 Bohr magnetons per cell
- Energy of formation from the pure elements: -0.471 eV per atom
- Crystal system: orthorhombic
- Electronic total energy: -77.48 eV/cell

---

Below is crystalline Dy8In2Tc at its relaxed geometry, with properties calculated at the PBE level.

abc: 17.266 5.512 6.972
angles: 90.00 112.65 90.00
Space group C2/m (No. 12)
Asymmetric unit:
Dy 0.007 0.000 0.265 [4 per cell]
Dy 0.113 0.500 0.899 [4 per cell]
Dy 0.137 0.500 0.398 [4 per cell]
Dy 0.192 0.000 0.727 [4 per cell]
In 0.185 0.000 0.188 [4 per cell]
Tc 0.000 0.500 0.500 [2 per cell]

Results
- N(E_F): 0.86 states/eV/atom
- Mass density: 8.83 g/cm3
- Spin magnetization: 0.00 Bohr magnetons per cell
- Energy of formation from the pure elements: -0.210 eV per atom
- Crystal system: monoclinic
- Electronic total energy: -109.94 eV/cell

---

Below is crystalline ScTiGe2Ru at its relaxed geometry, with properties calculated at the PBE level.

abc: 4.784 4.784 4.621
angles: 90.00 90.00 90.00
Space group P4/mmm (No. 123)
Asymmetric unit:
Sc 0.000 0.000 0.000 [1 per cell]
Ti 0.000 0.000 0.500 [1 per cell]
Ge 0.000 0.500 0.500 [2 per cell]
Ru 0.500 0.500 0.000 [1 per cell]

Results
- N(E_F): 0.56 states/eV/atom
- Mass density: 5.33 g/cm3
- Spin magnetization: 2.07 Bohr magnetons per cell
- Energy of formation from the pure elements: 0.860 eV per atom
- Crystal system: tetragonal
- Electronic total energy: -28.44 eV/cell